# 1
VASP calculation (GGA-PBE) on a relaxed Cs3Y2MgTe6 crystal.

a b c (Å): 7.7846 7.7846 9.3549
angles (deg): 97.99 97.99 120.04
Closest atoms and distances in Å follow each position.
Atoms (fractional coordinates):
Cs 0.1684 0.8316 0.5000  6 Te 3.81-3.84
Cs 0.8316 0.1684 0.5000  6 Te 3.81-3.84
Cs 0.5000 0.5000 0.5000  6 Te 3.81-3.85
Y 0.3337 0.6663 0.0000  6 Te 3.11
Y 0.6663 0.3337 0.0000  6 Te 3.11
Mg 0.0000 0.0000 0.0000  6 Te 3.06
Te 0.9378 0.6096 0.8131  1 Mg 3.06, 2 Y 3.11
Te 0.7344 0.7344 0.1881  1 Mg 3.06, 2 Y 3.11
Te 0.0622 0.3904 0.1869  1 Mg 3.06, 2 Y 3.11
Te 0.6096 0.9378 0.8131  1 Mg 3.06, 2 Y 3.11
Te 0.2656 0.2656 0.8119  1 Mg 3.06, 2 Y 3.11
Te 0.3904 0.0622 0.1869  1 Mg 3.06, 2 Y 3.11

Computed properties:
Its uncorrected energy is -4.150 eV/atom. As for the formation energy without anion corrections: -1338 kJ/mol of formula units. The space-group type is C2/m.

=====

# 2
VASP calculation (GGA-PBE) on a relaxed Cs2YMg2Te4 crystal.

a b c (Å): 4.5835 9.0995 8.7971
angles (deg): 106.34 105.10 90.00
Closest atoms and distances in Å follow each position.
Atoms (fractional coordinates):
Cs 0.1276 0.5483 0.2552  7 Te 3.90-4.01, 1 Cs 4.16
Cs 0.8724 0.4517 0.7448  7 Te 3.90-4.01, 1 Cs 4.16
Y 0.0000 0.0000 0.0000  6 Te 3.16-3.29
Mg 0.6697 0.9777 0.3394  4 Te 2.76-2.92
Mg 0.3303 0.0223 0.6606  4 Te 2.76-2.92
Te 0.1995 0.1707 0.3990  3 Mg 2.84-2.92
Te 0.8005 0.8293 0.6010  3 Mg 2.84-2.92
Te 0.5146 0.7698 0.0293  1 Mg 2.76
Te 0.4854 0.2302 0.9707  1 Mg 2.76

Computed properties:
Its uncorrected energy is -3.708 eV/atom. As for the formation energy without anion corrections: -912 kJ/mol of formula units. The space-group type is C2/m.

=====

# 3
VASP calculation (GGA-PBE) on a relaxed CsMg6Ti crystal.

a b c (Å): 8.0070 8.0070 3.4228
angles (deg): 90.00 90.00 90.00
Closest atoms and distances in Å follow each position.
Atoms (fractional coordinates):
Cs 0.5000 0.5000 0.5000  2 Cs 3.42, 8 Mg 3.73
Mg 0.5000 0.0000 0.5000  10 Mg 3.34-3.42
Mg 0.0000 0.5000 0.5000  10 Mg 3.34-3.42
Mg 0.2078 0.7922 0.0000  2 Ti 2.91
Mg 0.7922 0.2078 0.0000  2 Ti 2.91
Mg 0.7922 0.7922 0.0000  2 Ti 2.91
Mg 0.2078 0.2078 0.0000  2 Ti 2.91
Ti 0.0000 0.0000 0.5000  8 Mg 2.91

Computed properties:
The polymorph energy (0 for the lowest one) is 0.0 meV/atom. Its uncorrected energy is -1.992 eV/atom. The space-group type is P4/mmm. The formation energy is 0.298 eV/atom.

=====

# 4
VASP calculation (GGA-PBE) on a relaxed Cs3MgTi crystal.

a b c (Å): 6.7603 6.7603 6.7603
angles (deg): 90.00 90.00 90.00
Closest atoms and distances in Å follow each position.
Atoms (fractional coordinates):
Cs 0.0000 0.5000 0.0000  2 Ti 3.38
Cs 0.0000 0.0000 0.5000  2 Ti 3.38
Cs 0.5000 0.0000 0.0000  2 Ti 3.38
Mg 0.5000 0.5000 0.5000  12 Cs 4.78
Ti 0.0000 0.0000 0.0000  6 Cs 3.38

Computed properties:
Its uncorrected energy is -1.411 eV/atom. The space-group type is Pm-3m. The formation energy is 0.999 eV/atom.

=====

# 5
VASP calculation (GGA-PBE) on a relaxed CsMg6Ti crystal.

a b c (Å): 6.7331 6.7331 5.3889
angles (deg): 90.00 90.00 120.02
Closest atoms and distances in Å follow each position.
Atoms (fractional coordinates):
Cs 0.4166 0.5834 0.5000  12 Mg 3.37-3.41
Mg 0.5956 0.9411 0.0000  6 Mg 3.12-3.33, 2 Ti 3.37, 2 Cs 3.41
Mg 0.0589 0.4044 0.0000  6 Mg 3.12-3.33, 2 Ti 3.37, 2 Cs 3.41
Mg 0.5957 0.4043 0.0000  6 Mg 3.12-3.33, 2 Ti 3.37, 2 Cs 3.41
Mg 0.9284 0.6074 0.5000  6 Mg 3.12-3.33, 2 Ti 3.24, 2 Cs 3.37
Mg 0.3926 0.0716 0.5000  6 Mg 3.12-3.33, 2 Ti 3.24, 2 Cs 3.37
Mg 0.9289 0.0711 0.5000  6 Mg 3.12-3.33, 2 Ti 3.24, 2 Cs 3.37
Ti 0.0833 0.9167 0.0000  12 Mg 3.24-3.37

Computed properties:
The polymorph energy (0 for the lowest one) is 83.2 meV/atom. Its uncorrected energy is -1.908 eV/atom. The space-group type is P-6m2. The formation energy is 0.381 eV/atom.

=====

# 6
VASP calculation (GGA-PBE) on a relaxed CsMgTi2 crystal.

a b c (Å): 4.5284 4.5284 11.6549
angles (deg): 78.80 78.80 90.00
Closest atoms and distances in Å follow each position.
Atoms (fractional coordinates):
Cs 0.0000 0.0000 0.0000  4 Mg 3.20, 4 Ti 3.33
Cs 0.7500 0.2500 0.5000  4 Mg 3.20, 4 Ti 3.33
Mg 0.5000 0.5000 0.0000  4 Ti 3.14, 4 Cs 3.20
Mg 0.2500 0.7500 0.5000  4 Ti 3.14, 4 Cs 3.20
Ti 0.1852 0.1250 0.2500  2 Ti 2.84, 2 Mg 3.14
Ti 0.5648 0.6250 0.2500  2 Ti 2.84, 2 Mg 3.14
Ti 0.3750 0.8148 0.7500  2 Ti 2.84, 2 Mg 3.14
Ti 0.8750 0.4352 0.7500  2 Ti 2.84, 2 Mg 3.14

Computed properties:
Its uncorrected energy is -3.276 eV/atom. The space-group type is I-42d. The formation energy is 1.283 eV/atom.

=====

# 7
VASP calculation (GGA-PBE) on a relaxed CsMg2Ti2 crystal.

a b c (Å): 5.4991 5.4991 6.4251
angles (deg): 64.66 64.66 90.00
Closest atoms and distances in Å follow each position.
Atoms (fractional coordinates):
Cs 0.0000 0.0000 0.0000  8 Mg 3.76, 10 Ti 4.02-4.11
Mg 0.7500 0.2500 0.5000  4 Ti 3.16
Mg 0.2500 0.7500 0.5000  4 Ti 3.16
Ti 0.4018 0.4018 0.1964  1 Ti 2.01
Ti 0.5982 0.5982 0.8036  1 Ti 2.01

Computed properties:
Its uncorrected energy is -2.975 eV/atom. The space-group type is I4/mmm. The formation energy is 0.992 eV/atom.

=====

# 8
VASP calculation (GGA-PBE) on a relaxed CsMg14Ti crystal.

a b c (Å): 6.4896 6.4896 10.8489
angles (deg): 90.00 90.00 120.28
Closest atoms and distances in Å follow each position.
Atoms (fractional coordinates):
Cs 0.3094 0.6906 0.5000  10 Mg 3.17-3.49, 2 Ti 3.25
Mg 0.8377 0.1623 0.0000  12 Mg 3.20-3.40
Mg 0.3391 0.6609 0.0000  12 Mg 3.12-3.30
Mg 0.3272 0.1883 0.5000  2 Ti 3.08-3.41, 6 Mg 3.13-3.33, 2 Cs 3.17-3.32
Mg 0.3442 0.1713 0.0000  12 Mg 3.07-3.40
Mg 0.8117 0.6728 0.5000  2 Ti 3.08-3.41, 6 Mg 3.13-3.33, 2 Cs 3.17-3.32
Mg 0.8287 0.6558 0.0000  12 Mg 3.07-3.40
Mg 0.1622 0.3195 0.2425  10 Mg 3.11-3.35, 1 Ti 3.33
Mg 0.1622 0.3195 0.7575  10 Mg 3.11-3.35, 1 Ti 3.33
Mg 0.6805 0.8378 0.2425  10 Mg 3.11-3.35, 1 Ti 3.33
Mg 0.6805 0.8378 0.7575  10 Mg 3.11-3.35, 1 Ti 3.33
Mg 0.6740 0.3260 0.2629  1 Ti 3.17, 11 Mg 3.20-3.40
Mg 0.6740 0.3260 0.7371  1 Ti 3.17, 11 Mg 3.20-3.40
Mg 0.1650 0.8350 0.2236  9 Mg 3.07-3.34, 1 Cs 3.41
Mg 0.1650 0.8350 0.7764  9 Mg 3.07-3.34, 1 Cs 3.41
Ti 0.8387 0.1613 0.5000  10 Mg 3.08-3.41, 2 Cs 3.25

Computed properties:
The polymorph energy (0 for the lowest one) is 18.7 meV/atom. Its uncorrected energy is -1.713 eV/atom. The space-group type is Amm2. The formation energy is 0.230 eV/atom.

=====

# 9
VASP calculation (GGA-PBE) on a relaxed CsMg2Ti crystal.

a b c (Å): 5.6583 5.6583 5.6583
angles (deg): 60.00 60.00 60.00
Closest atoms and distances in Å follow each position.
Atoms (fractional coordinates):
Cs 0.5000 0.5000 0.5000  8 Mg 3.46
Mg 0.2500 0.2500 0.2500  4 Cs 3.46, 4 Ti 3.46
Mg 0.7500 0.7500 0.7500  4 Ti 3.46, 4 Cs 3.46
Ti 0.0000 0.0000 0.0000  8 Mg 3.46

Computed properties:
Its uncorrected energy is -2.116 eV/atom. The space-group type is Fm-3m. The formation energy is 0.868 eV/atom.

=====

# 10
VASP calculation (GGA-PBE) on a relaxed CsMg14Ti crystal.

a b c (Å): 6.5878 6.5878 10.5649
angles (deg): 90.00 90.00 120.00
Closest atoms and distances in Å follow each position.
Atoms (fractional coordinates):
Cs 0.0000 0.0000 0.5000  12 Mg 3.29-3.47
Mg 0.9931 0.4966 0.0000  10 Mg 3.06-3.36, 2 Ti 3.29
Mg 0.0108 0.5054 0.5000  10 Mg 3.19-3.44, 2 Cs 3.29
Mg 0.5034 0.0069 0.0000  10 Mg 3.06-3.36, 2 Ti 3.29
Mg 0.4946 0.9892 0.5000  10 Mg 3.19-3.44, 2 Cs 3.29
Mg 0.5034 0.4966 0.0000  10 Mg 3.06-3.36, 2 Ti 3.29
Mg 0.4946 0.5054 0.5000  10 Mg 3.19-3.44, 2 Cs 3.29
Mg 0.1683 0.8317 0.2259  8 Mg 3.06-3.33, 1 Ti 3.06
Mg 0.1683 0.8317 0.7741  8 Mg 3.06-3.33, 1 Ti 3.06
Mg 0.1683 0.3366 0.2259  8 Mg 3.06-3.33, 1 Ti 3.06
Mg 0.1683 0.3366 0.7741  8 Mg 3.06-3.33, 1 Ti 3.06
Mg 0.6634 0.8317 0.2259  8 Mg 3.06-3.33, 1 Ti 3.06
Mg 0.6634 0.8317 0.7741  8 Mg 3.06-3.33, 1 Ti 3.06
Mg 0.6667 0.3333 0.2568  12 Mg 3.23-3.31
Mg 0.6667 0.3333 0.7432  12 Mg 3.23-3.31
Ti 0.0000 0.0000 0.0000  12 Mg 3.06-3.29

Computed properties:
The polymorph energy (0 for the lowest one) is 0.0 meV/atom. Its uncorrected energy is -1.731 eV/atom. The space-group type is P-6m2. The formation energy is 0.211 eV/atom.